# Ho6CdRh5 | Alexandria | GGA-PBE | relaxed
data_Ho6CdRh5
_space_group_name_H-M_alt 'P 1 2/m 1'
_space_group_IT_number 10
_space_group_name_Hall '-P 2y'
_cell_length_a 4.847
_cell_length_b 7.035
_cell_length_c 7.673
_cell_angle_alpha 90.00
_cell_angle_beta 108.34
_cell_angle_gamma 90.00
loop_
_atom_site_label
_atom_site_type_symbol
_atom_site_fract_x
_atom_site_fract_y
_atom_site_fract_z
Ho1 Ho 0.000 0.236 0.000
Ho2 Ho 0.328 0.246 0.656
Cd1 Cd 0.500 0.500 0.000
Rh1 Rh 0.162 0.500 0.326
Rh2 Rh 0.167 0.000 0.336
Rh3 Rh 0.500 0.000 0.000
# Electronic total energy (hartree per atom): -0.2281